Record 1
! PBE-GGA La2Pm3In2, optimized geometry; values from VASP
! Spin magnetization ... 0.0 Bohr magnetons per cell
! Energy above the most stable polymorph in this dataset ... 0 meV per atom
! DFT formation energy ... -25.04 kJ/mol of atoms
&SYSTEM
  ibrav = 0, nat = 7, ntyp = 3
/
ATOMIC_SPECIES
La 138.91 La.upf
Pm 145.00 Pm.upf
In 114.82 In.upf
CELL_PARAMETERS angstrom
5.468 0.000 0.000
-2.714 5.940 0.000
-0.009 -0.412 6.910
ATOMIC_POSITIONS angstrom
La 0.003 2.318 2.379
La 2.743 3.210 4.531
Pm 0.001 0.871 5.744
Pm 2.730 -0.206 3.455
Pm 2.745 4.657 1.166
In 0.001 4.137 6.336
In 2.744 1.391 0.574



Record 2
! PBE-GGA La2Pm3In, optimized geometry; values from VASP
! Spin magnetization ... 0.0 Bohr magnetons per cell
! Energy above the most stable polymorph in this dataset ... 0 meV per atom
! DFT formation energy ... -14.49 kJ/mol of atoms
&SYSTEM
  ibrav = 0, nat = 6, ntyp = 3
/
ATOMIC_SPECIES
La 138.91 La.upf
Pm 145.00 Pm.upf
In 114.82 In.upf
CELL_PARAMETERS angstrom
2.497 -7.840 0.000
2.497 7.840 0.000
0.000 0.000 5.003
ATOMIC_POSITIONS angstrom
La 2.497 5.271 0.000
La 2.497 -5.271 0.000
Pm 0.000 0.000 2.502
Pm 2.497 2.496 2.502
Pm 2.497 -2.496 2.502
In 2.497 0.000 0.000